# ScV2GaC (PBE, optimized geometry)
# ΔH_f (0 K)   1.82 eV/atom
# Electronic total energy   -5.539 eV per atom
# Fermi-level density of states   1.28 states/eV per atom
data_ScV2GaC
_chemical_formula_sum 'Sc1 V2 Ga1 C1'
_cell_length_a 4.572
_cell_length_b 4.572
_cell_length_c 4.946
_cell_angle_alpha 90.00
_cell_angle_beta 90.00
_cell_angle_gamma 90.00
_space_group_name_H-M_alt 'P 4/m m m'
_space_group_IT_number 123
_space_group_name_Hall '-P 4 2'
loop_
_atom_site_label
_atom_site_type_symbol
_atom_site_fract_x
_atom_site_fract_y
_atom_site_fract_z
Sc1 Sc 0.000 0.000 0.000
V1 V 0.000 0.500 0.500
Ga1 Ga 0.000 0.000 0.500
C1 C 0.500 0.500 0.000